No. 1
A plane-wave DFT calculation with PBE-GGA was carried out for a relaxed Rb4Ce3ZnO8 crystal.

Computed properties:
Its density of states at the Fermi level is 0.566 states/eV/atom. The total energy is -198.23 eV for the cell shown. The formation energy (no corrections) is -2.2815 eV/atom.

Lattice parameters (Å, degrees): 12.6360 7.0517 7.7008 90.00 121.56 90.00
With the nearest neighbours (Å) after each atom.
Space group C2/m (No. 12)
Inequivalent atoms, fractional coordinates:
Rb 0.0000 0.0000 0.0000 (multiplicity 2)  6 O 2.78-3.02
Rb 0.0000 0.5000 0.0000 (multiplicity 2)  6 O 2.93-3.05
Rb 0.2500 0.2500 0.0000 (multiplicity 4)  6 O 2.90-3.07
Ce 0.0000 0.0000 0.5000 (multiplicity 2)  6 O 2.37-2.40
Ce 0.2500 0.2500 0.5000 (multiplicity 4)  6 O 2.32-2.41
Zn 0.0000 0.5000 0.5000 (multiplicity 2)  4 O 2.26
O 0.0271 0.2609 0.3320 (multiplicity 8)  1 Zn 2.26, 2 Ce 2.37-2.41
O 0.2231 0.0000 0.6802 (multiplicity 4)  3 Ce 2.38-2.40
O 0.2499 0.0000 0.3047 (multiplicity 4)  2 Ce 2.32

---

No. 2
A plane-wave DFT calculation with PBE-GGA was carried out for a relaxed Rb3Ce3ZnO8 crystal.

Computed properties:
Its density of states at the Fermi level is 0.495 states/eV/atom. The total energy is -196.78 eV for the cell shown. The formation energy (no corrections) is -2.4497 eV/atom.

Lattice parameters (Å, degrees): 12.0005 7.2522 7.7082 90.00 121.67 90.00
With the nearest neighbours (Å) after each atom.
Space group C2/m (No. 12)
Inequivalent atoms, fractional coordinates:
Rb 0.0000 0.0000 0.0000 (multiplicity 2)  6 O 2.88-3.05
Rb 0.2500 0.2500 0.0000 (multiplicity 4)  6 O 2.97-3.04
Ce 0.0000 0.5000 0.5000 (multiplicity 2)  6 O 2.29-2.34
Ce 0.2500 0.2500 0.5000 (multiplicity 4)  6 O 2.24-2.40
Zn 0.0000 0.0000 0.5000 (multiplicity 2)  2 O 2.01
O 0.0311 0.2709 0.3248 (multiplicity 8)  2 Ce 2.24-2.29
O 0.1963 0.0000 0.6477 (multiplicity 4)  1 Zn 2.01
O 0.2287 0.5000 0.6786 (multiplicity 4)  3 Ce 2.34-2.37